# NaPmGaSn (GGA-PBE, optimized geometry)
# ΔH_f (0 K) = -331 meV/atom
data_NaPmGaSn
_cell_length_a 5.256
_cell_length_b 5.256
_cell_length_c 5.256
_cell_angle_alpha 60.00
_cell_angle_beta 60.00
_cell_angle_gamma 60.00
_symmetry_space_group_name_H-M 'P 1'
_symmetry_Int_Tables_number 1
loop_
_symmetry_equiv_pos_as_xyz
'x,y,z'
loop_
_atom_site_label
_atom_site_fract_x
_atom_site_fract_y
_atom_site_fract_z
Na1 0.000 0.000 0.000
Pm1 0.500 0.500 0.500
Ga1 0.250 0.250 0.250
Sn1 0.750 0.750 0.750

# Y2CoCCl (GGA-PBE, optimized geometry)
# E_form (uncorrected) = 0.8507 eV per atom
data_Y2CoCCl
_cell_length_a 5.126
_cell_length_b 5.126
_cell_length_c 3.717
_cell_angle_alpha 90.00
_cell_angle_beta 90.00
_cell_angle_gamma 90.00
_symmetry_space_group_name_H-M 'P 1'
_symmetry_Int_Tables_number 1
loop_
_symmetry_equiv_pos_as_xyz
'x,y,z'
loop_
_atom_site_label
_atom_site_fract_x
_atom_site_fract_y
_atom_site_fract_z
Y1 0.000 0.500 0.000
Y2 0.500 0.000 0.000
Co1 0.000 0.000 0.500
C1 0.500 0.500 0.500
Cl1 0.500 0.500 0.000